Below is a relaxed Rb2CrI crystal, with properties calculated at the GGA-PBE level.

Output
The space group is Fm-3m, No. 225. The calculated density is 3.1 g/cm3. The calculation puts the density of states at the Fermi level at 0.00 states/eV per cell. The energy above the most stable polymorph in this dataset is 0.000 eV/atom.

Geometry as CIF:
```
data_Rb2CrI
_space_group_name_H-M_alt 'P 1'
_space_group_IT_number 1
_cell_length_a 9.036
_cell_length_b 9.036
_cell_length_c 9.036
_cell_angle_alpha 90.00
_cell_angle_beta 90.00
_cell_angle_gamma 90.00
loop_
_space_group_symop_operation_xyz
'x,y,z'
loop_
_atom_site_label
_atom_site_fract_x
_atom_site_fract_y
_atom_site_fract_z
Rb1 0.250 0.250 0.250
Rb2 0.250 0.250 0.750
Rb3 0.250 0.750 0.250
Rb4 0.250 0.750 0.750
Rb5 0.750 0.250 0.250
Rb6 0.750 0.250 0.750
Rb7 0.750 0.750 0.250
Rb8 0.750 0.750 0.750
Cr1 0.000 0.000 0.000
Cr2 0.000 0.500 0.500
Cr3 0.500 0.000 0.500
Cr4 0.500 0.500 0.000
I1 0.000 0.000 0.500
I2 0.000 0.500 0.000
I3 0.500 0.000 0.000
I4 0.500 0.500 0.500
```

---

Below is a relaxed Rb3CrI6 crystal, with properties calculated at the GGA-PBE level.

Output
The space group is R-3c, No. 167. The calculated density is 3.7 g/cm3. The energy above the most stable polymorph in this dataset is 0.000 eV/atom.

Geometry as CIF:
```
data_Rb3CrI6
_space_group_name_H-M_alt 'P 1'
_space_group_IT_number 1
_cell_length_a 9.851
_cell_length_b 9.851
_cell_length_c 9.851
_cell_angle_alpha 89.31
_cell_angle_beta 89.31
_cell_angle_gamma 89.31
loop_
_space_group_symop_operation_xyz
'x,y,z'
loop_
_atom_site_label
_atom_site_fract_x
_atom_site_fract_y
_atom_site_fract_z
Rb1 0.121 0.750 0.379
Rb2 0.250 0.621 0.879
Rb3 0.379 0.121 0.750
Rb4 0.621 0.879 0.250
Rb5 0.750 0.379 0.121
Rb6 0.879 0.250 0.621
Cr1 0.000 0.000 0.000
Cr2 0.500 0.500 0.500
I1 0.056 0.931 0.732
I2 0.069 0.268 0.944
I3 0.232 0.431 0.556
I4 0.268 0.944 0.069
I5 0.431 0.556 0.232
I6 0.444 0.768 0.569
I7 0.556 0.232 0.431
I8 0.569 0.444 0.768
I9 0.732 0.056 0.931
I10 0.768 0.569 0.444
I11 0.931 0.732 0.056
I12 0.944 0.069 0.268
```

---

Below is a relaxed Rb3CrI6 crystal, with properties calculated at the GGA-PBE level.

Output
The space group is Fm-3m, No. 225. The calculated density is 3.7 g/cm3. The calculation puts the density of states at the Fermi level at 0.00 states/eV per cell. The energy above the most stable polymorph in this dataset is 0.056 eV/atom.

Geometry as CIF:
```
data_Rb3CrI6
_space_group_name_H-M_alt 'P 1'
_space_group_IT_number 1
_cell_length_a 8.774
_cell_length_b 8.774
_cell_length_c 8.774
_cell_angle_alpha 60.00
_cell_angle_beta 60.00
_cell_angle_gamma 60.00
loop_
_space_group_symop_operation_xyz
'x,y,z'
loop_
_atom_site_label
_atom_site_fract_x
_atom_site_fract_y
_atom_site_fract_z
Rb1 0.000 0.000 0.000
Rb2 0.250 0.250 0.250
Rb3 0.750 0.750 0.750
Cr1 0.500 0.500 0.500
I1 0.279 0.279 0.721
I2 0.279 0.721 0.279
I3 0.279 0.721 0.721
I4 0.721 0.279 0.279
I5 0.721 0.279 0.721
I6 0.721 0.721 0.279
```

---

Below is a relaxed RbCr2I2 crystal, with properties calculated at the GGA-PBE level.

Output
The space group is P4/mbm, No. 127. The calculated density is 4.0 g/cm3. The calculation puts the density of states at the Fermi level at 2.35 states/eV per cell. The energy above the most stable polymorph in this dataset is 0.000 eV/atom.

Geometry as CIF:
```
data_RbCr2I2
_space_group_name_H-M_alt 'P 1'
_space_group_IT_number 1
_cell_length_a 8.863
_cell_length_b 8.863
_cell_length_c 4.741
_cell_angle_alpha 90.00
_cell_angle_beta 90.00
_cell_angle_gamma 90.00
loop_
_space_group_symop_operation_xyz
'x,y,z'
loop_
_atom_site_label
_atom_site_fract_x
_atom_site_fract_y
_atom_site_fract_z
Rb1 0.000 0.000 0.000
Rb2 0.500 0.500 0.000
Cr1 0.070 0.430 0.000
Cr2 0.430 0.930 0.000
Cr3 0.570 0.070 0.000
Cr4 0.930 0.570 0.000
I1 0.162 0.338 0.500
I2 0.338 0.838 0.500
I3 0.662 0.162 0.500
I4 0.838 0.662 0.500
```

---

Number 1: ΔE_f (raw) 0.1 eV per formula unit, total magnetic moment 20.0 Bohr magnetons per cell. Number 2: ΔE_f (raw) -10.4 eV per formula unit, total magnetic moment 5.9 Bohr magnetons per cell. Number 3: ΔE_f (raw) -9.8 eV per formula unit, total magnetic moment 3.0 Bohr magnetons per cell. Number 4: ΔE_f (raw) 1.5 eV per formula unit, total magnetic moment 2.0 Bohr magnetons per cell.